BaMnVF7 | the Alexandria database | PBE with a Hubbard U | optimized geometry; DOS(E_F) = 0.00 states/eV/atom; total energy = -6.08 eV per atom
1.0
6.7626 -2.6231 0.0000
6.7626 2.6231 0.0000
-0.0284 0.0000 15.8784
Ba Mn V F
4 4 4 28
Cartesian
2.6749 0.3307 2.0613 Ba
2.6607 -0.3307 10.0005 Ba
10.8361 0.3307 5.8779 Ba
10.8219 -0.3307 13.8171 Ba
1.3365 0.1951 5.9530 Mn
1.3223 -0.1951 13.8922 Mn
12.1745 0.1951 1.9862 Mn
12.1603 -0.1951 9.9254 Mn
6.7555 0.3429 3.9696 V
6.7626 0.0000 0.0000 V
6.7484 0.0000 7.9392 V
6.7413 -0.3429 11.9088 V
4.8135 1.3420 3.4848 F
5.6137 1.5918 7.9089 F
6.3999 1.7081 5.3816 F
3.3602 0.4161 6.2327 F
5.3162 1.0844 11.6446 F
5.1562 1.0024 0.5696 F
7.1111 1.7081 2.5575 F
7.8973 1.5918 0.0303 F
3.3460 -0.4161 14.1719 F
6.4069 0.7426 13.9953 F
7.0757 0.7426 9.8223 F
8.6975 1.3420 4.4544 F
8.1664 1.0844 12.1729 F
8.3548 1.0024 7.3696 F
5.1420 -1.0024 8.5088 F
5.3304 -1.0844 3.7054 F
4.7993 -1.3420 11.4239 F
6.4211 -0.7426 6.0561 F
7.0899 -0.7426 1.8831 F
10.1508 0.4161 1.7065 F
5.5995 -1.5918 15.8481 F
6.3857 -1.7081 13.3208 F
8.3406 -1.0024 15.3088 F
8.1806 -1.0844 4.2338 F
10.1366 -0.4161 9.6457 F
7.0969 -1.7081 10.4967 F
7.8831 -1.5918 7.9695 F
8.6833 -1.3420 12.3936 F